(1)
# LaMgScI2 (meta-GGA SCAN, single point on PBEsol structure)
# * N(E_F): 4.20 states/eV/cell
# * crystal system: tetragonal
# * theoretical density: 4.53 g/cm³
data_LaMgScI2
_cell_length_a 5.452
_cell_length_b 5.452
_cell_length_c 5.695
_cell_angle_alpha 90.00
_cell_angle_beta 90.00
_cell_angle_gamma 90.00
_symmetry_space_group_name_H-M 'P 4/m m m'
_symmetry_Int_Tables_number 123
_symmetry_space_group_name_Hall '-P 4 2'
loop_
_atom_site_label
_atom_site_type_symbol
_atom_site_fract_x
_atom_site_fract_y
_atom_site_fract_z
_atom_site_occupancy
La1 La 0.000 0.000 0.000 1
Mg1 Mg 0.500 0.500 0.500 1
Sc1 Sc 0.500 0.500 0.000 1
I1 I 0.000 0.500 0.500 1



(2)
# LaMgTe2I (meta-GGA SCAN, single point on PBEsol structure)
# * N(E_F): 3.14 states/eV/cell
# * crystal system: tetragonal
# * theoretical density: 4.03 g/cm³
data_LaMgTe2I
_cell_length_a 6.102
_cell_length_b 6.102
_cell_length_c 6.041
_cell_angle_alpha 90.00
_cell_angle_beta 90.00
_cell_angle_gamma 90.00
_symmetry_space_group_name_H-M 'P 4/m m m'
_symmetry_Int_Tables_number 123
_symmetry_space_group_name_Hall '-P 4 2'
loop_
_atom_site_label
_atom_site_type_symbol
_atom_site_fract_x
_atom_site_fract_y
_atom_site_fract_z
_atom_site_occupancy
La1 La 0.000 0.000 0.000 1
Mg1 Mg 0.500 0.500 0.500 1
Te1 Te 0.000 0.500 0.000 1
I1 I 0.000 0.000 0.500 1



(3)
# LaMg2TiI (meta-GGA SCAN, single point on PBEsol structure)
# * N(E_F): 4.10 states/eV/cell
# * crystal system: tetragonal
# * theoretical density: 3.25 g/cm³
data_LaMg2TiI
_cell_length_a 6.140
_cell_length_b 6.140
_cell_length_c 4.910
_cell_angle_alpha 90.00
_cell_angle_beta 90.00
_cell_angle_gamma 90.00
_symmetry_space_group_name_H-M 'P 4/m m m'
_symmetry_Int_Tables_number 123
_symmetry_space_group_name_Hall '-P 4 2'
loop_
_atom_site_label
_atom_site_type_symbol
_atom_site_fract_x
_atom_site_fract_y
_atom_site_fract_z
_atom_site_occupancy
La1 La 0.000 0.000 0.000 1
Mg1 Mg 0.000 0.500 0.000 1
Ti1 Ti 0.000 0.000 0.500 1
I1 I 0.500 0.500 0.500 1



(4)
# LaMn3I (meta-GGA SCAN, single point on PBEsol structure)
# * N(E_F): 5.70 states/eV/cell
# * energy above the most stable polymorph in this dataset: 0.000 eV per atom
# * crystal system: cubic
# * theoretical density: 6.51 g/cm³
data_LaMn3I
_cell_length_a 4.788
_cell_length_b 4.788
_cell_length_c 4.788
_cell_angle_alpha 90.00
_cell_angle_beta 90.00
_cell_angle_gamma 90.00
_symmetry_space_group_name_H-M 'P m -3 m'
_symmetry_Int_Tables_number 221
_symmetry_space_group_name_Hall '-P 4 2 3'
loop_
_atom_site_label
_atom_site_type_symbol
_atom_site_fract_x
_atom_site_fract_y
_atom_site_fract_z
_atom_site_occupancy
La1 La 0.000 0.000 0.000 1
Mn1 Mn 0.000 0.500 0.500 1
I1 I 0.500 0.500 0.500 1



These records have total DFT energy (no corrections) values of -27.011; -32.361; -20.029; -26.166 eV/atom, in the order they appear.